This record from OQMD describes a relaxed structure of SrMg2TlZn. The functional is PBE.

Summary:
Volume ... 26.56 A^3/atom
Space group ... No. 107
E ... -0.06927 Ha/atom

Cell: 4.576 4.576 12.687 Å, 90.00 90.00 90.00°
Sites, in units of the cell vectors:
Sr  0.000  0.000  0.000
Sr  0.500  0.500  0.500
Mg  0.000  0.500  0.237
Mg  0.000  0.500  0.737
Mg  0.500  0.000  0.237
Mg  0.500  0.000  0.737
Tl  0.000  0.000  0.390
Tl  0.500  0.500  0.890
Zn  0.000  0.000  0.610
Zn  0.500  0.500  0.110


This record from OQMD describes a relaxed structure of RbZnCu. The functional is PBE.

Summary:
Volume ... 40.46 A^3/atom
Space group ... No. 216
Energy above the lowest structure with this stoichiometry ... 0.231 eV/atom

Cell: 7.860 7.860 7.860 Å, 90.00 90.00 90.00°
Sites, in units of the cell vectors:
Rb  0.000  0.000  0.000
Rb  0.000  0.500  0.500
Rb  0.500  0.000  0.500
Rb  0.500  0.500  0.000
Zn  0.250  0.250  0.250
Zn  0.250  0.750  0.750
Zn  0.750  0.250  0.750
Zn  0.750  0.750  0.250
Cu  0.250  0.250  0.750
Cu  0.250  0.750  0.250
Cu  0.750  0.250  0.250
Cu  0.750  0.750  0.750


This record from OQMD describes a relaxed structure of Tb2Ga4PdPt. The functional is PBE.

Summary:
Volume ... 18.71 A^3/atom
Space group ... No. 38
E ... -0.18157 Ha/atom

Cell: 6.640 4.432 10.170 Å, 90.00 90.00 90.00°
Sites, in units of the cell vectors:
Tb  0.000  0.000  0.000
Tb  0.000  0.500  0.500
Tb  0.500  0.000  0.177
Tb  0.500  0.500  0.677
Ga  0.196  0.000  0.716
Ga  0.196  0.500  0.216
Ga  0.303  0.000  0.460
Ga  0.303  0.500  0.960
Ga  0.697  0.000  0.460
Ga  0.697  0.500  0.960
Ga  0.804  0.000  0.716
Ga  0.804  0.500  0.216
Pd  0.000  0.000  0.289
Pd  0.000  0.500  0.789
Pt  0.500  0.000  0.888
Pt  0.500  0.500  0.388


Q: Which of these has the lowest volume?
A: Tb2Ga4PdPt